The following is a GGA-PBE calculation of ZnTe2As after structural relaxation, from Alexandria.

* formation energy (no corrections): -0.06 eV per atom
* density: 6.44 g/cm³

Unit cell a=4.151 b=4.151 c=5.921 alpha=90.00 beta=90.00 gamma=90.00
Space group P4mm (No. 99)
One atom of each set of equivalent atoms:
Zn 0.000 0.000 0.000 (multiplicity 1)
Te 0.000 0.000 0.518 (multiplicity 1)
Te 0.500 0.500 0.033 (multiplicity 1)
As 0.500 0.500 0.489 (multiplicity 1)


The following is a GGA-PBE calculation of Sm2Ga5Ni2Rh after structural relaxation, from Alexandria.

* total energy: -4.85 eV/atom
* density: 8.32 g/cm³

Unit cell a=9.229 b=9.229 c=4.077 alpha=90.00 beta=90.00 gamma=90.00
Space group P4/mbm (No. 127)
One atom of each set of equivalent atoms:
Sm 0.186 0.314 0.000 (multiplicity 4)
Ga 0.000 0.500 0.500 (multiplicity 2)
Ga 0.054 0.798 0.500 (multiplicity 8)
Ni 0.108 0.608 0.000 (multiplicity 4)
Rh 0.000 0.000 0.000 (multiplicity 2)


The following is a GGA-PBE calculation of Ta3Nb4 after structural relaxation, from Alexandria.

* total energy: -10.56 eV/atom
* density: 11.57 g/cm³

Unit cell a=7.6322 b=7.6322 c=5.2028 alpha=90.00 beta=90.00 gamma=120.00
Space group P6_3/m (No. 176)
One atom of each set of equivalent atoms:
Ta 0.0473 0.2371 0.2500 (multiplicity 6)
Nb 0.0939 0.4712 0.7500 (multiplicity 6)
Nb 0.3333 0.6667 0.2500 (multiplicity 2)


Look up the density of the second one. 8.32 g/cm³